Entry 1:
First-principles (PBE) data for an optimized crystal structure of La6HoCd2, as listed in Alexandria via LeMat-Bulk.

abc: 13.2120 3.8896 12.3381
angles: 90.00 108.49 90.00
Space group C2/m (No. 12)
Inequivalent atoms, fractional coordinates:
1 La 0.0222 0.0000 0.3364
2 La 0.1818 0.5000 0.8770
3 La 0.1914 0.5000 0.5926
4 Ho 0.0000 0.0000 0.0000
5 Cd 0.1398 0.5000 0.1909

Entry 2:
First-principles (PBE) data for an optimized crystal structure of LaHo7Cd4, as listed in Alexandria via LeMat-Bulk.

abc: 14.6967 5.7192 9.7063
angles: 90.00 122.03 90.00
Space group C2/m (No. 12)
Inequivalent atoms, fractional coordinates:
1 La 0.0000 0.0000 0.0000
2 Ho 0.0000 0.5000 0.0000
3 Ho 0.0719 0.0000 0.4150
4 Ho 0.2064 0.0000 0.8801
5 Ho 0.2355 0.5000 0.6909
6 Cd 0.0412 0.5000 0.7126
7 Cd 0.1822 0.5000 0.3399

Entry 3:
First-principles (PBE) data for an optimized crystal structure of La12HoCd6, as listed in Alexandria via LeMat-Bulk.

abc: 11.7990 11.7990 14.9533
angles: 90.00 90.00 120.00
Space group R-3 (No. 148, hexagonal axes)
Inequivalent atoms, fractional coordinates:
1 La 0.0423 0.8500 0.3009
2 La 0.0593 0.2199 0.9054
3 Ho 0.0000 0.0000 0.5000
4 Cd 0.0418 0.5929 0.2074

Entry 4:
First-principles (PBE) data for an optimized crystal structure of La2HoCd, as listed in Alexandria via LeMat-Bulk.

Energy above the most stable polymorph in this dataset = 132 meV per atom

abc: 3.6061 3.5271 20.3228
angles: 90.00 90.00 90.00
Space group Amm2 (No. 38)
Inequivalent atoms, fractional coordinates:
1 La 0.0000 0.0000 0.0000
2 La 0.5000 0.0000 0.3604
3 Ho 0.0000 0.0000 0.2116
4 Cd 0.5000 0.0000 0.6144

Entry 5:
First-principles (PBE) data for an optimized crystal structure of LaHo2Cd2, as listed in Alexandria via LeMat-Bulk.

Energy above the most stable polymorph in this dataset = 0 meV per atom

abc: 3.7563 5.4830 14.0304
angles: 90.00 97.69 90.00
Space group P2_1/m (No. 11)
Inequivalent atoms, fractional coordinates:
1 La 0.1491 0.2500 0.2959
2 Ho 0.0472 0.7500 0.0945
3 Ho 0.2363 0.7500 0.4726
4 Cd 0.3580 0.2500 0.7168
5 Cd 0.4540 0.7500 0.9078

Entry 6:
First-principles (PBE) data for an optimized crystal structure of La5HoCd4, as listed in Alexandria via LeMat-Bulk.

abc: 3.8889 3.8889 20.7332
angles: 90.00 90.00 90.00
Space group P4/mmm (No. 123)
Inequivalent atoms, fractional coordinates:
1 La 0.0000 0.0000 0.0000
2 La 0.0000 0.0000 0.1928
3 La 0.0000 0.0000 0.3855
4 Ho 0.5000 0.5000 0.5000
5 Cd 0.5000 0.5000 0.0961
6 Cd 0.5000 0.5000 0.2913

Entry 7:
First-principles (PBE) data for an optimized crystal structure of LaHoCd17, as listed in Alexandria via LeMat-Bulk.

abc: 10.0966 10.0966 15.0157
angles: 90.00 90.00 120.00
Space group R3m (No. 160, hexagonal axes)
Inequivalent atoms, fractional coordinates:
1 La 0.0000 0.0000 0.0000
2 Ho 0.0000 0.0000 0.3409
3 Cd 0.0000 0.0000 0.5613
4 Cd 0.0000 0.0000 0.7589
5 Cd 0.0344 0.3644 0.3338
6 Cd 0.1754 0.3508 0.1439
7 Cd 0.1812 0.3625 0.5064
8 Cd 0.1930 0.3859 0.8505

Entry 8:
First-principles (PBE) data for an optimized crystal structure of LaHo2Cd2, as listed in Alexandria via LeMat-Bulk.

Energy above the most stable polymorph in this dataset = 203 meV per atom

abc: 5.0339 5.0339 24.7660
angles: 90.00 90.00 90.00
Space group I4/mmm (No. 139)
Inequivalent atoms, fractional coordinates:
1 La 0.0000 0.0000 0.1237
2 Ho 0.0000 0.0000 0.4293
3 Ho 0.0000 0.5000 0.2500
4 Cd 0.0000 0.0000 0.3162
5 Cd 0.0000 0.5000 0.0000

For each record above, in turn, the calculated formation energy values are -0.136, 0.012, -0.137, -0.021, -0.244, -0.245, -0.141, -0.041 eV per atom.